Entry 1:
LaNd2GdZn12Ge6: relaxed, PBE-GGA.

Structure (extended XYZ):
```
22
Lattice="7.6684 0.0000 0.0000 0.0000 4.0988 0.0000 -0.0013 0.0000 13.2837" Properties=species:S:1:pos:R:3 pbc="T T T"
La 0.0000 0.0000 0.0000
Nd 7.6655 0.0000 4.4436
Nd 3.8374 0.0000 6.6554
Gd 3.8388 0.0000 11.0677
Zn 1.1140 2.0494 6.9518
Zn 1.1123 2.0494 10.7728
Zn 1.4552 0.0000 8.8805
Zn 1.6298 2.0494 2.2221
Zn 3.1050 0.0000 3.4746
Zn 3.1386 0.0000 0.9454
Zn 4.9387 2.0494 0.2948
Zn 4.9383 2.0494 4.1474
Zn 5.2856 0.0000 2.2381
Zn 5.4459 2.0494 8.8600
Zn 6.9165 0.0000 10.1049
Zn 6.9464 0.0000 7.6050
Ge 2.3682 2.0494 4.7647
Ge 2.3983 2.0494 12.9403
Ge 2.9417 2.0494 8.8879
Ge 6.1690 2.0494 11.3825
Ge 6.2036 2.0494 6.3256
Ge 6.7623 2.0494 2.2331
```

Results
calculated density	7.18	g/cm³
raw total energy	-3.242	eV per atom
crystal system	monoclinic


Entry 2:
LaNdGd2Zn12Ge6: relaxed, PBE-GGA.

Structure (extended XYZ):
```
22
Lattice="7.6520 0.0000 0.0000 0.0000 4.0812 0.0000 0.0000 0.0000 13.2507" Properties=species:S:1:pos:R:3 pbc="T T T"
La 0.0000 0.0000 0.0000
Nd 3.8275 0.0000 11.0058
Gd 3.8229 0.0000 6.6009
Gd 7.6452 0.0000 4.4286
Zn 1.0832 2.0406 6.9143
Zn 1.1108 2.0406 10.7037
Zn 1.4491 0.0000 8.8004
Zn 1.6359 2.0406 2.2228
Zn 3.0760 0.0000 3.4647
Zn 3.1387 0.0000 0.9407
Zn 4.9013 2.0406 4.1181
Zn 4.9341 2.0406 0.3046
Zn 5.2775 0.0000 2.2499
Zn 5.4490 2.0406 8.7920
Zn 6.9116 0.0000 7.5473
Zn 6.9208 0.0000 10.0532
Ge 2.3388 2.0406 4.7637
Ge 2.3764 2.0406 12.9108
Ge 2.9415 2.0406 8.7759
Ge 6.1675 2.0406 6.2604
Ge 6.1815 2.0406 11.3405
Ge 6.7658 2.0406 2.2535
```

Results
calculated density	7.30	g/cm³
raw total energy	-3.230	eV per atom
crystal system	monoclinic


Entry 3:
LaNdGd2Zn12Ge6: relaxed, PBE-GGA.

Structure (extended XYZ):
```
22
Lattice="7.6511 0.0000 0.0000 0.0000 4.0799 0.0000 -0.0011 0.0000 13.2537" Properties=species:S:1:pos:R:3 pbc="T T T"
La 0.0000 0.0000 0.0000
Nd 3.8215 0.0000 6.6227
Gd 3.8251 0.0000 11.0275
Gd 7.6454 0.0000 4.4306
Zn 1.0719 2.0399 10.7211
Zn 1.1040 2.0399 6.9620
Zn 1.4500 0.0000 8.8715
Zn 1.6558 2.0399 2.1925
Zn 3.0467 0.0000 3.4460
Zn 3.1695 0.0000 0.9150
Zn 4.8800 2.0399 4.1177
Zn 4.9394 2.0399 0.3313
Zn 5.2817 0.0000 2.2837
Zn 5.4634 2.0399 8.7966
Zn 6.8716 0.0000 10.0570
Zn 6.9499 0.0000 7.5471
Ge 2.3086 2.0399 4.7565
Ge 2.3929 2.0399 12.8793
Ge 2.9519 2.0399 8.8621
Ge 6.1337 2.0399 11.3574
Ge 6.1996 2.0399 6.2539
Ge 6.7789 2.0399 2.2645
```

Results
calculated density	7.30	g/cm³
raw total energy	-3.231	eV per atom
crystal system	monoclinic


Entry 4:
LaPrGd2Zn12Ge6: relaxed, PBE-GGA.

Structure (extended XYZ):
```
22
Lattice="7.6594 0.0000 0.0000 0.0000 4.0852 0.0000 -0.0025 0.0000 13.2663" Properties=species:S:1:pos:R:3 pbc="T T T"
La 0.0000 0.0000 0.0000
Pr 7.6546 0.0000 4.4537
Gd 3.8312 0.0000 6.6549
Gd 3.8329 0.0000 11.0454
Zn 1.0994 2.0426 6.9619
Zn 1.1041 2.0426 10.7419
Zn 1.4524 0.0000 8.8583
Zn 1.6477 2.0426 2.2290
Zn 3.1086 0.0000 3.4886
Zn 3.1399 0.0000 0.9454
Zn 4.9236 2.0426 4.1423
Zn 4.9293 2.0426 0.3063
Zn 5.2816 0.0000 2.2407
Zn 5.4414 2.0426 8.8480
Zn 6.9053 0.0000 10.0936
Zn 6.9162 0.0000 7.6020
Ge 2.3848 2.0426 4.8005
Ge 2.3914 2.0426 12.9151
Ge 2.9478 2.0426 8.8505
Ge 6.1541 2.0426 6.3274
Ge 6.1550 2.0426 11.3736
Ge 6.7647 2.0426 2.2296
```

Results
calculated density	7.26	g/cm³
raw total energy	-3.231	eV per atom
crystal system	monoclinic


Entry 5:
LaPrGd2Zn12Ge6: relaxed, PBE-GGA.

Structure (extended XYZ):
```
22
Lattice="7.6555 0.0000 0.0000 0.0000 4.0855 0.0000 -0.0003 0.0000 13.2633" Properties=species:S:1:pos:R:3 pbc="T T T"
La 0.0000 0.0000 0.0000
Pr 3.8265 0.0000 6.6298
Gd 7.6517 0.0000 4.4289
Gd 3.8292 0.0000 11.0427
Zn 1.0879 2.0427 10.7432
Zn 1.1104 2.0427 6.9496
Zn 1.4516 0.0000 8.8787
Zn 1.6385 2.0427 2.2009
Zn 3.0622 0.0000 3.4496
Zn 3.1553 0.0000 0.9248
Zn 4.9057 2.0427 4.1263
Zn 4.9388 2.0427 0.3140
Zn 5.2823 0.0000 2.2658
Zn 5.4558 2.0427 8.8183
Zn 6.8866 0.0000 10.0715
Zn 6.9562 0.0000 7.5614
Ge 2.3157 2.0427 4.7462
Ge 2.3944 2.0427 12.9025
Ge 2.9455 2.0427 8.8777
Ge 6.1479 2.0427 11.3639
Ge 6.2159 2.0427 6.2683
Ge 6.7716 2.0427 2.2572
```

Results
calculated density	7.27	g/cm³
raw total energy	-3.232	eV per atom
crystal system	monoclinic


Entry 6:
LaGdZn6Ge3: relaxed, PBE-GGA.

Structure (extended XYZ):
```
22
Lattice="4.0936 0.0000 0.0000 0.0000 13.2826 0.0000 0.0000 0.0000 7.6709" Properties=species:S:1:pos:R:3 pbc="T T T"
La 0.0000 2.2302 0.0000
La 0.0000 11.0524 0.0000
Gd 0.0000 4.4439 3.8248
Gd 0.0000 8.8387 3.8248
Zn 0.0000 0.0000 2.3809
Zn 0.0000 1.2741 4.5334
Zn 0.0000 5.3976 0.7475
Zn 0.0000 6.6413 6.2110
Zn 0.0000 7.8850 0.7475
Zn 0.0000 12.0085 4.5334
Zn 2.0468 0.0000 6.0226
Zn 2.0468 1.9307 2.7336
Zn 2.0468 4.7450 6.5527
Zn 2.0468 6.6413 2.2257
Zn 2.0468 8.5376 6.5527
Zn 2.0468 11.3519 2.7336
Ge 2.0468 0.0000 0.9065
Ge 2.0468 2.5724 5.2708
Ge 2.0468 4.1219 1.4968
Ge 2.0468 6.6413 4.7170
Ge 2.0468 9.1607 1.4968
Ge 2.0468 10.7102 5.2708
```

Results
calculated density	7.22	g/cm³
raw total energy	-3.246	eV per atom
crystal system	orthorhombic


Which of these has the lowest raw total energy?
LaGdZn6Ge3


Among the records above, which one has the highest raw total energy?
number 2


Which value of raw total energy does entry 2 give?
-3.230 eV per atom